DyMgSn | SCAN | single point on PBEsol structure

Cell: 4.340 4.340 8.437 Å, 104.90 104.90 90.00°
Fractional positions:
Sn 0.137 0.137 0.273
Sn 0.863 0.863 0.727
Dy 0.667 0.667 0.334
Mg 0.000 0.500 0.000
Mg 0.500 0.000 0.000
Dy 0.333 0.333 0.666

Density in g/cm3: 6.9
Size of the total moment in μB/atom: 0.0000
SG: I4/mmm, No. 139
Electronic total energy in eV per cell: -181.3

=====

Dy2MgTl | SCAN | single point on PBEsol structure

Cell: 5.255 5.255 5.255 Å, 60.00 60.00 60.00°
Fractional positions:
Dy 0.250 0.250 0.250
Mg 0.500 0.500 0.500
Tl 0.000 0.000 0.000
Dy 0.750 0.750 0.750

Density in g/cm3: 9.0
Size of the total moment in μB/atom: 0.0016
SG: Fm-3m, No. 225
Electronic total energy in eV per cell: -174.3

=====

DyMgTl2 | SCAN | single point on PBEsol structure

Cell: 5.181 5.181 5.181 Å, 60.00 60.00 60.00°
Fractional positions:
Tl 0.250 0.250 0.250
Tl 0.750 0.750 0.750
Dy 0.500 0.500 0.500
Mg 0.000 0.000 0.000

Density in g/cm3: 10.1
Size of the total moment in μB/atom: 0.0000
SG: Fm-3m, No. 225
Electronic total energy in eV per cell: -199.0

=====

DyMgZn2 | SCAN | single point on PBEsol structure

Cell: 4.748 4.748 4.748 Å, 60.00 60.00 60.00°
Fractional positions:
Mg 0.000 0.000 0.000
Zn 0.250 0.250 0.250
Dy 0.500 0.500 0.500
Zn 0.750 0.750 0.750

Density in g/cm3: 7.0
Size of the total moment in μB/atom: 0.0000
SG: Fm-3m, No. 225
Electronic total energy in eV per cell: -81.5

=====

DyMn2O5 | SCAN | single point on PBEsol structure

Cell: 5.653 7.183 8.443 Å, 90.00 90.00 90.00°
Last column: magnetic moment on the atom in μB.
Fractional positions:
Dy 0.000 0.137 0.172  0.05
O 0.500 0.155 0.434  0.11
O 0.244 0.605 0.792  0.03
O 0.500 0.655 0.066  0.11
Dy 0.000 0.637 0.328  0.05
O 0.729 0.500 0.500  0.03
O 0.756 0.895 0.292  0.03
Dy 0.000 0.863 0.828  0.05
O 0.729 0.000 0.000  0.03
Mn 0.500 0.088 0.850  3.60
O 0.000 0.166 0.444  0.06
Mn 0.746 0.000 0.500  2.90
O 0.244 0.395 0.208  0.03
O 0.271 0.000 0.000  0.03
O 0.000 0.334 0.944  0.06
Mn 0.500 0.412 0.350  3.60
O 0.500 0.345 0.934  0.11
Mn 0.746 0.500 0.000  2.90
O 0.756 0.605 0.792  0.03
O 0.000 0.666 0.056  0.06
Dy 0.000 0.363 0.672  0.05
O 0.244 0.105 0.708  0.03
Mn 0.500 0.912 0.150  3.60
O 0.756 0.105 0.708  0.03
O 0.271 0.500 0.500  0.03
Mn 0.254 0.000 0.500  2.90
O 0.244 0.895 0.292  0.03
O 0.000 0.834 0.556  0.06
O 0.756 0.395 0.208  0.03
Mn 0.254 0.500 0.000  2.90
O 0.500 0.845 0.566  0.11
Mn 0.500 0.588 0.650  3.60

Energy relative to the elements, uncorrected in eV per atom: -2.82
Density in g/cm3: 6.8
Size of the total moment in μB/atom: 0.8750
SG: Pbam, No. 55

=====

Sr2DyMnO6 | SCAN | single point on PBEsol structure

Cell: 5.673 5.673 5.673 Å, 60.00 60.00 60.00°
Last column: magnetic moment on the atom in μB.
Fractional positions:
O 0.770 0.770 0.230  0.14
O 0.230 0.770 0.230  0.14
Dy 0.500 0.500 0.500  -0.05
O 0.230 0.770 0.770  0.14
O 0.230 0.230 0.770  0.14
Sr 0.250 0.250 0.250  0.00
Mn 0.000 0.000 0.000  2.51
Sr 0.750 0.750 0.750  0.00
O 0.770 0.230 0.230  0.14
O 0.770 0.230 0.770  0.14

Energy relative to the elements, uncorrected in eV per atom: -2.88
Density in g/cm3: 6.3
Size of the total moment in μB/atom: 0.3598
SG: Fm-3m, No. 225

=====

DyMn6Sn6 | SCAN | single point on PBEsol structure

Cell: 5.364 5.364 8.822 Å, 90.00 90.00 120.00°
Last column: magnetic moment on the atom in μB.
Fractional positions:
Mn 0.500 0.500 0.248  2.59
Sn 0.667 0.333 0.500  -0.18
Dy 0.000 0.000 0.000  -0.48
Sn 0.000 0.000 0.333  -0.19
Sn 0.667 0.333 0.000  -0.17
Mn 0.000 0.500 0.248  2.59
Sn 0.333 0.667 0.500  -0.18
Sn 0.000 0.000 0.667  -0.19
Sn 0.333 0.667 0.000  -0.17
Mn 0.500 0.000 0.752  2.59
Mn 0.000 0.500 0.752  2.59
Mn 0.500 0.500 0.752  2.59
Mn 0.500 0.000 0.248  2.59

Density in g/cm3: 9.1
Size of the total moment in μB/atom: 1.0695
SG: P6/mmm, No. 191
Electronic total energy in eV per cell: -376.0

=====

Dy2Mo3O12 | SCAN | single point on PBEsol structure

Cell: 10.277 10.305 10.563 Å, 90.00 90.00 90.00°
Fractional positions:
O 0.171 0.641 0.838
O 0.873 0.005 0.428
Mo 0.503 0.706 0.094
Dy 0.006 0.187 0.474
O 0.995 0.627 0.045
O 0.357 0.682 0.637
O 0.318 0.876 0.832
O 0.307 0.010 0.216
Mo 0.295 0.011 0.381
O 0.143 0.182 0.637
O 0.373 0.495 0.428
O 0.481 0.695 0.258
O 0.818 0.624 0.832
O 0.505 0.127 0.045
Mo 0.705 0.989 0.381
Dy 0.506 0.313 0.474
O 0.384 0.882 0.445
O 0.807 0.490 0.216
O 0.829 0.359 0.838
O 0.652 0.837 0.434
O 0.682 0.124 0.832
O 0.182 0.376 0.832
O 0.378 0.329 0.643
Mo 0.795 0.489 0.381
O 0.005 0.373 0.045
Mo 0.257 0.257 0.737
Mo 0.243 0.757 0.737
O 0.019 0.195 0.258
O 0.116 0.382 0.445
O 0.127 0.995 0.428
Mo 0.003 0.794 0.094
Mo 0.497 0.294 0.094
Dy 0.994 0.813 0.474
O 0.495 0.873 0.045
O 0.378 0.619 0.020
O 0.343 0.351 0.053
O 0.843 0.149 0.053
O 0.981 0.805 0.258
Dy 0.313 0.004 0.000
O 0.878 0.171 0.643
O 0.848 0.337 0.434
O 0.348 0.163 0.434
O 0.693 0.990 0.216
O 0.657 0.649 0.053
O 0.122 0.119 0.020
Mo 0.997 0.206 0.094
O 0.627 0.505 0.428
Dy 0.813 0.496 0.000
Dy 0.187 0.504 0.000
O 0.643 0.318 0.637
O 0.878 0.881 0.020
Mo 0.205 0.511 0.381
O 0.329 0.141 0.838
O 0.622 0.381 0.020
O 0.671 0.859 0.838
Mo 0.757 0.243 0.737
Dy 0.494 0.687 0.474
O 0.622 0.671 0.643
Dy 0.687 0.996 0.000
O 0.193 0.510 0.216
O 0.122 0.829 0.643
O 0.884 0.618 0.445
O 0.519 0.305 0.258
O 0.857 0.818 0.637
O 0.157 0.851 0.053
O 0.616 0.118 0.445
O 0.152 0.663 0.434
Mo 0.743 0.743 0.737

Energy relative to the elements, uncorrected in eV per atom: -2.74
Density in g/cm3: 4.8
Size of the total moment in μB/atom: 0.0000
Energy relative to the lowest polymorph listed for this composition in kJ/mol of atoms: 0.77
SG: Pba2, No. 32

=====

Dy2Mo3O12 | SCAN | single point on PBEsol structure

Cell: 7.321 7.321 10.540 Å, 90.00 90.00 90.00°
Fractional positions:
O 0.994 0.775 0.296
O 0.191 0.043 0.097
Mo 0.000 0.000 0.000
Mo 0.793 0.293 0.356
O 0.275 0.494 0.296
Dy 0.814 0.314 0.738
Dy 0.686 0.814 0.262
Mo 0.293 0.207 0.644
Mo 0.500 0.500 0.000
Mo 0.707 0.793 0.644
O 0.457 0.309 0.097
O 0.043 0.809 0.903
O 0.809 0.957 0.097
O 0.725 0.506 0.296
O 0.374 0.874 0.309
O 0.691 0.457 0.903
O 0.506 0.275 0.704
O 0.126 0.374 0.691
O 0.543 0.691 0.097
O 0.225 0.994 0.704
O 0.695 0.805 0.479
O 0.874 0.626 0.691
O 0.305 0.195 0.479
O 0.309 0.543 0.903
Mo 0.207 0.707 0.356
O 0.805 0.305 0.521
O 0.626 0.126 0.309
O 0.494 0.725 0.704
O 0.195 0.695 0.521
Dy 0.186 0.686 0.738
O 0.006 0.225 0.296
O 0.775 0.006 0.704
O 0.957 0.191 0.903
Dy 0.314 0.186 0.262

Energy relative to the elements, uncorrected in eV per atom: -2.74
Density in g/cm3: 4.7
Size of the total moment in μB/atom: 0.0000
Energy relative to the lowest polymorph listed for this composition in kJ/mol of atoms: 0.89
SG: P-42_1m, No. 113

=====

Dy2Mo4O15 | SCAN | single point on PBEsol structure

Cell: 6.740 9.575 10.579 Å, 90.00 105.22 90.00°
Fractional positions:
O 0.477 0.628 0.103
O 0.948 0.028 0.707
O 0.718 0.848 0.418
O 0.052 0.972 0.293
O 0.749 0.635 0.617
O 0.000 0.000 0.000
O 0.000 0.500 0.500
O 0.113 0.777 0.650
O 0.749 0.865 0.117
Dy 0.711 0.023 0.275
O 0.377 0.555 0.682
Mo 0.883 0.095 0.844
O 0.887 0.277 0.850
O 0.887 0.223 0.350
Mo 0.418 0.244 0.489
O 0.377 0.945 0.182
O 0.718 0.652 0.918
O 0.619 0.335 0.598
Mo 0.582 0.744 0.011
Mo 0.582 0.756 0.511
O 0.948 0.472 0.207
O 0.381 0.665 0.402
Mo 0.117 0.595 0.656
Mo 0.883 0.405 0.344
O 0.477 0.872 0.603
O 0.251 0.365 0.383
O 0.113 0.723 0.150
Dy 0.289 0.523 0.225
O 0.282 0.348 0.082
O 0.282 0.152 0.582
Dy 0.711 0.477 0.775
O 0.381 0.835 0.902
O 0.619 0.165 0.098
Mo 0.418 0.256 0.989
O 0.523 0.372 0.897
O 0.523 0.128 0.397
Mo 0.117 0.905 0.156
O 0.623 0.055 0.818
O 0.251 0.135 0.883
O 0.623 0.445 0.318
O 0.052 0.528 0.793
Dy 0.289 0.977 0.725

Energy relative to the elements, uncorrected in eV per atom: -2.62
Density in g/cm3: 4.8
Size of the total moment in μB/atom: 0.0000
SG: P2_1/c, No. 14

=====

Dy2Mo3O12 | SCAN | single point on PBEsol structure

Cell: 6.760 6.760 11.236 Å, 100.64 100.64 112.43°
Fractional positions:
O 0.710 0.629 0.720
O 0.579 0.162 0.608
O 0.629 0.710 0.220
Dy 0.544 0.790 0.591
O 0.162 0.579 0.108
O 0.902 0.978 0.580
O 0.421 0.838 0.392
O 0.414 0.318 0.041
O 0.978 0.902 0.080
O 0.290 0.371 0.280
Mo 0.630 0.370 0.750
O 0.098 0.022 0.420
Mo 0.370 0.630 0.250
O 0.411 0.047 0.202
O 0.371 0.290 0.780
Mo 0.962 0.744 0.446
O 0.047 0.411 0.702
Mo 0.256 0.038 0.054
O 0.270 0.834 0.942
Dy 0.790 0.544 0.091
O 0.586 0.682 0.959
O 0.318 0.414 0.541
O 0.834 0.270 0.442
Mo 0.744 0.962 0.946
O 0.022 0.098 0.920
O 0.953 0.589 0.298
O 0.682 0.586 0.459
Dy 0.456 0.210 0.409
Dy 0.210 0.456 0.909
Mo 0.038 0.256 0.554
O 0.838 0.421 0.892
O 0.589 0.953 0.798
O 0.166 0.730 0.558
O 0.730 0.166 0.058

Energy relative to the elements, uncorrected in eV per atom: -2.75
Density in g/cm3: 6.0
Size of the total moment in μB/atom: 0.0000
Energy relative to the lowest polymorph listed for this composition in kJ/mol of atoms: 0.00
SG: C2/c, No. 15

=====

DySbMo2O9 | SCAN | single point on PBEsol structure

Cell: 9.516 9.516 10.670 Å, 112.26 112.26 95.07°
Fractional positions:
O 0.027 0.695 0.497
O 0.379 0.855 0.772
Sb 0.618 0.656 0.036
O 0.777 0.596 0.923
Mo 0.952 0.739 0.972
Mo 0.435 0.056 0.195
Mo 0.048 0.261 0.028
O 0.793 0.637 0.203
O 0.296 0.869 0.433
O 0.777 0.952 0.321
O 0.637 0.793 0.703
O 0.450 0.907 0.255
O 0.093 0.550 0.245
Dy 0.874 0.126 0.250
Dy 0.671 0.329 0.750
O 0.404 0.223 0.577
O 0.540 0.422 0.897
O 0.869 0.296 0.933
O 0.906 0.933 0.600
O 0.550 0.093 0.745
O 0.596 0.777 0.423
Mo 0.056 0.435 0.695
O 0.855 0.379 0.272
O 0.094 0.067 0.400
O 0.952 0.777 0.821
Sb 0.656 0.618 0.536
O 0.907 0.450 0.755
O 0.695 0.027 0.997
O 0.704 0.131 0.567
O 0.223 0.048 0.679
O 0.223 0.404 0.077
O 0.363 0.207 0.297
O 0.578 0.460 0.603
O 0.131 0.704 0.067
O 0.973 0.305 0.503
Mo 0.739 0.952 0.472
O 0.048 0.223 0.179
O 0.460 0.578 0.103
O 0.067 0.094 0.900
O 0.145 0.621 0.728
O 0.305 0.973 0.003
Mo 0.261 0.048 0.528
O 0.933 0.906 0.100
Sb 0.382 0.344 0.964
Mo 0.944 0.565 0.305
Mo 0.565 0.944 0.805
O 0.621 0.145 0.228
Dy 0.329 0.671 0.250
O 0.422 0.540 0.397
Dy 0.126 0.874 0.750
O 0.207 0.363 0.797
Sb 0.344 0.382 0.464

Energy relative to the elements, uncorrected in eV per atom: -2.40
Density in g/cm3: 5.2
Size of the total moment in μB/atom: 0.0000
SG: C2/c, No. 15

=====

The lowest density belongs to which entry?
number 9

=====

Copy entry 6 word for word.
Sr2DyMnO6 | SCAN | single point on PBEsol structure

Cell: 5.673 5.673 5.673 Å, 60.00 60.00 60.00°
Last column: magnetic moment on the atom in μB.
Fractional positions:
O 0.770 0.770 0.230  0.14
O 0.230 0.770 0.230  0.14
Dy 0.500 0.500 0.500  -0.05
O 0.230 0.770 0.770  0.14
O 0.230 0.230 0.770  0.14
Sr 0.250 0.250 0.250  0.00
Mn 0.000 0.000 0.000  2.51
Sr 0.750 0.750 0.750  0.00
O 0.770 0.230 0.230  0.14
O 0.770 0.230 0.770  0.14

Energy relative to the elements, uncorrected in eV per atom: -2.88
Density in g/cm3: 6.3
Size of the total moment in μB/atom: 0.3598
SG: Fm-3m, No. 225